No. 1
Density functional theory data (PBE) for crystalline KNdAu2 at its relaxed geometry.

a = 3.8209 Å, b = 3.8209 Å, c = 8.0759 Å
α = 90.00°, β = 90.00°, γ = 90.00°
Fractional coordinates of all 4 atoms:
K 0.0000 0.0000 0.0000
Nd 0.0000 0.0000 0.5000
Au 0.5000 0.5000 0.3098
Au 0.5000 0.5000 0.6902

Summary:
Offset from the most stable computed form, meV per atom: 0.0
Energy of formation, kJ/mol of atoms: -54
Raw total energy, eV per atom: -3.669

No. 2
Density functional theory data (PBE) for crystalline KNd2Au2O6 at its relaxed geometry.

a = 6.1123 Å, b = 6.3641 Å, c = 6.9433 Å
α = 116.98°, β = 98.11°, γ = 107.06°
Fractional coordinates of all 11 atoms:
K 0.0000 0.0000 0.0000
Nd 0.0196 0.3387 0.6821
Nd 0.9804 0.6613 0.3179
Au 0.4540 0.0400 0.8232
Au 0.5460 0.9600 0.1768
O 0.1413 0.7231 0.6783
O 0.2222 0.6816 0.0811
O 0.2658 0.1159 0.6020
O 0.7342 0.8841 0.3980
O 0.7778 0.3184 0.9189
O 0.8587 0.2769 0.3217

Summary:
Raw total energy, eV per atom: -5.883

No. 3
Density functional theory data (PBE) for crystalline KNd2AuO4 at its relaxed geometry.

a = 6.7379 Å, b = 6.7379 Å, c = 12.0816 Å
α = 90.00°, β = 90.00°, γ = 147.66°
Fractional coordinates of all 16 atoms:
K 0.0606 0.9394 0.7500
K 0.9394 0.0606 0.2500
Nd 0.3727 0.6273 0.5671
Nd 0.3727 0.6273 0.9329
Nd 0.6273 0.3727 0.0671
Nd 0.6273 0.3727 0.4329
Au 0.2447 0.7553 0.2500
Au 0.7553 0.2447 0.7500
O 0.0000 0.0000 0.0000
O 0.0000 0.0000 0.5000
O 0.2406 0.7594 0.0826
O 0.2406 0.7594 0.4174
O 0.4252 0.5748 0.7500
O 0.5748 0.4252 0.2500
O 0.7594 0.2406 0.5826
O 0.7594 0.2406 0.9174

Summary:
Raw total energy, eV per atom: -6.460

No. 4
Density functional theory data (PBE) for crystalline KNdAuO2 at its relaxed geometry.

a = 6.6060 Å, b = 5.5766 Å, c = 6.9664 Å
α = 90.00°, β = 97.10°, γ = 90.00°
Fractional coordinates of all 10 atoms:
K 0.0000 0.1534 0.2500
K 0.0000 0.8466 0.7500
Nd 0.5000 0.4865 0.7500
Nd 0.5000 0.5135 0.2500
Au 0.5000 0.0000 0.0000
Au 0.5000 0.0000 0.5000
O 0.3042 0.3527 0.4705
O 0.3042 0.6473 0.9705
O 0.6958 0.3527 0.0295
O 0.6958 0.6473 0.5295

Summary:
Raw total energy, eV per atom: -5.376

No. 5
Density functional theory data (PBE) for crystalline KNdAuS2 at its relaxed geometry.

a = 7.3387 Å, b = 5.0668 Å, c = 7.9849 Å
α = 90.00°, β = 100.46°, γ = 90.00°
Fractional coordinates of all 10 atoms:
K 0.0000 0.1474 0.2500
K 0.0000 0.8526 0.7500
Nd 0.5000 0.4909 0.7500
Nd 0.5000 0.5091 0.2500
Au 0.5000 0.0000 0.0000
Au 0.5000 0.0000 0.5000
S 0.2527 0.3216 0.9627
S 0.2527 0.6784 0.4627
S 0.7473 0.3216 0.5373
S 0.7473 0.6784 0.0373

Summary:
Raw total energy, eV per atom: -4.614

No. 6
Density functional theory data (PBE) for crystalline K2NdSb4Au3 at its relaxed geometry.

a = 4.8509 Å, b = 4.8509 Å, c = 12.3574 Å
α = 90.00°, β = 90.00°, γ = 90.00°
Fractional coordinates of all 10 atoms:
K 0.0000 0.5000 0.2394
K 0.5000 0.0000 0.7606
Nd 0.0000 0.0000 0.5000
Sb 0.0000 0.0000 0.0000
Sb 0.0000 0.5000 0.6498
Sb 0.5000 0.0000 0.3502
Sb 0.5000 0.5000 0.0000
Au 0.0000 0.5000 0.8754
Au 0.5000 0.0000 0.1246
Au 0.5000 0.5000 0.5000

Summary:
Raw total energy, eV per atom: -3.796

No. 7
Density functional theory data (PBE) for crystalline KNi2Au at its relaxed geometry.

a = 3.3013 Å, b = 3.3013 Å, c = 7.3191 Å
α = 90.00°, β = 90.00°, γ = 90.00°
Fractional coordinates of all 4 atoms:
K 0.0000 0.0000 0.0000
Ni 0.5000 0.5000 0.3363
Ni 0.5000 0.5000 0.6637
Au 0.0000 0.0000 0.5000

Summary:
Offset from the most stable computed form, meV per atom: 199.2
Energy of formation, kJ/mol of atoms: 48
Raw total energy, eV per atom: -3.485

No. 8
Density functional theory data (PBE) for crystalline K2NiAu at its relaxed geometry.

a = 4.6955 Å, b = 5.1746 Å, c = 10.7446 Å
α = 90.00°, β = 90.00°, γ = 90.00°
Fractional coordinates of all 8 atoms:
K 0.0000 0.0000 0.0000
K 0.0000 0.5000 0.5000
K 0.5000 0.0000 0.3014
K 0.5000 0.5000 0.8014
Ni 0.0000 0.0000 0.6768
Ni 0.0000 0.5000 0.1768
Au 0.5000 0.0000 0.6152
Au 0.5000 0.5000 0.1152

Summary:
Offset from the most stable computed form, meV per atom: 63.5
Energy of formation, kJ/mol of atoms: 14
Raw total energy, eV per atom: -2.669

No. 9
Density functional theory data (PBE) for crystalline KNi2Au at its relaxed geometry.

a = 4.6995 Å, b = 4.6995 Å, c = 17.8150 Å
α = 90.00°, β = 90.00°, γ = 90.00°
Fractional coordinates of all 16 atoms:
K 0.0000 0.2500 0.3750
K 0.0000 0.7500 0.6250
K 0.5000 0.2500 0.1250
K 0.5000 0.7500 0.8750
Ni 0.0000 0.0000 0.0000
Ni 0.0000 0.5000 0.0000
Ni 0.2500 0.2500 0.7500
Ni 0.2500 0.7500 0.2500
Ni 0.5000 0.0000 0.5000
Ni 0.5000 0.5000 0.5000
Ni 0.7500 0.2500 0.7500
Ni 0.7500 0.7500 0.2500
Au 0.0000 0.2500 0.8750
Au 0.0000 0.7500 0.1250
Au 0.5000 0.2500 0.6250
Au 0.5000 0.7500 0.3750

Summary:
Offset from the most stable computed form, meV per atom: 153.1
Energy of formation, kJ/mol of atoms: 44
Raw total energy, eV per atom: -3.531

No. 10
Density functional theory data (PBE) for crystalline KNiAu2 at its relaxed geometry.

a = 6.8331 Å, b = 6.8331 Å, c = 6.8331 Å
α = 90.00°, β = 90.00°, γ = 90.00°
Fractional coordinates of all 16 atoms:
K 0.0000 0.0000 0.0000
K 0.0000 0.5000 0.5000
K 0.5000 0.0000 0.5000
K 0.5000 0.5000 0.0000
Ni 0.2500 0.2500 0.2500
Ni 0.2500 0.7500 0.7500
Ni 0.7500 0.2500 0.7500
Ni 0.7500 0.7500 0.2500
Au 0.0000 0.0000 0.5000
Au 0.0000 0.5000 0.0000
Au 0.2500 0.2500 0.7500
Au 0.2500 0.7500 0.2500
Au 0.5000 0.0000 0.0000
Au 0.5000 0.5000 0.5000
Au 0.7500 0.2500 0.2500
Au 0.7500 0.7500 0.7500

Summary:
Offset from the most stable computed form, meV per atom: 374.4
Energy of formation, kJ/mol of atoms: 43
Raw total energy, eV per atom: -2.909

No. 11
Density functional theory data (PBE) for crystalline K2NiAu at its relaxed geometry.

a = 3.6061 Å, b = 3.6061 Å, c = 9.7793 Å
α = 90.00°, β = 90.00°, γ = 90.00°
Fractional coordinates of all 4 atoms:
K 0.0000 0.0000 0.0000
K 0.5000 0.5000 0.4301
Ni 0.0000 0.0000 0.6974
Au 0.5000 0.5000 0.7464

Summary:
Offset from the most stable computed form, meV per atom: 109.5
Energy of formation, kJ/mol of atoms: 18
Raw total energy, eV per atom: -2.623

No. 12
Density functional theory data (PBE) for crystalline KNi2Au at its relaxed geometry.

a = 2.8456 Å, b = 3.3481 Å, c = 7.7795 Å
α = 90.00°, β = 90.00°, γ = 90.00°
Fractional coordinates of all 4 atoms:
K 0.0000 0.0000 0.0000
Ni 0.0000 0.0000 0.4497
Ni 0.5000 0.5000 0.3223
Au 0.5000 0.5000 0.6643

Summary:
Offset from the most stable computed form, meV per atom: 0.0
Energy of formation, kJ/mol of atoms: 29
Raw total energy, eV per atom: -3.684